{
  "formula": "ScTiNbW",
  "functional": "PBE",
  "state": "relaxed",
  "lattice": [[4.668, 0.000, 0.000], [2.334, 4.042, 0.000], [2.334, 1.347, 3.811]],
  "species": ["Nb", "W", "Ti", "Sc"],
  "frac_coords": [[0.750, 0.750, 0.750], [0.000, 0.000, 0.000], [0.250, 0.250, 0.250], [0.500, 0.500, 0.500]],
  "e_form_ev_per_atom": 0.1077,
  "volume_a3_per_cell": 71.92,
  "n_ef_per_ev_cell": 7.31
}

{
  "formula": "RbRhI2Cl",
  "functional": "PBE",
  "state": "relaxed",
  "lattice": [[-5.406, 0.720, -1.124], [-1.141, -4.925, 2.334], [-0.619, 2.230, 4.404]],
  "species": ["I", "I", "Rh", "Cl", "Rb"],
  "frac_coords": [[0.000, 0.500, 0.000], [0.500, 0.000, 0.000], [0.000, 0.000, 0.000], [0.000, 0.000, 0.500], [0.500, 0.500, 0.500]],
  "volume_a3_per_cell": 154.26,
  "formation_energy_uncorrected_ev_per_fu": -3.35,
  "n_ef_per_ev_cell": 2.26
}